(1)
Compound: ZrAs2Pb
Source: Alexandria via LeMat-Bulk
Functional: PBE
Structure: relaxed

The structure in CIF format:
```
data_ZrAs2Pb
_space_group_name_H-M_alt 'I m m 2'
_space_group_IT_number 44
_cell_length_a 3.626
_cell_length_b 3.838
_cell_length_c 14.273
_cell_angle_alpha 90.00
_cell_angle_beta 90.00
_cell_angle_gamma 90.00
loop_
_space_group_symop_operation_xyz
'x,y,z'
'-x,-y,z'
'-x,y,z'
'x,-y,z'
'x+1/2,y+1/2,z+1/2'
'-x+1/2,-y+1/2,z+1/2'
'-x+1/2,y+1/2,z+1/2'
'x+1/2,-y+1/2,z+1/2'
loop_
_atom_site_label
_atom_site_fract_x
_atom_site_fract_y
_atom_site_fract_z
Zr1 0.000 0.000 0.000
As1 0.000 0.000 0.561
As2 0.000 0.500 0.356
Pb1 0.000 0.500 0.752
```

Properties
**Energy of formation from the pure elements**: -9.83 kcal/mol of atoms

(2)
Compound: Sc6In2Cu
Source: Alexandria via LeMat-Bulk
Functional: PBE
Structure: relaxed

The structure in CIF format:
```
data_Sc6In2Cu
_space_group_name_H-M_alt 'P -6 2 m'
_space_group_IT_number 189
_space_group_name_Hall 'P -6 -2'
_cell_length_a 8.1968
_cell_length_b 8.1968
_cell_length_c 3.5021
_cell_angle_alpha 90.00
_cell_angle_beta 90.00
_cell_angle_gamma 120.00
loop_
_atom_site_label
_atom_site_fract_x
_atom_site_fract_y
_atom_site_fract_z
Sc1 0.0000 0.3882 0.0000
Sc2 0.0000 0.7479 0.5000
In1 0.3333 0.6667 0.5000
Cu1 0.0000 0.0000 0.0000
```

Properties
**Energy of formation from the pure elements**: -6.43 kcal/mol of atoms

(3)
Compound: Cs2UBiSe6
Source: Alexandria via LeMat-Bulk
Functional: PBE
Structure: relaxed

The structure in CIF format:
```
data_Cs2UBiSe6
_space_group_name_H-M_alt 'P m m n'
_space_group_IT_number 59
_cell_length_a 7.894
_cell_length_b 11.164
_cell_length_c 7.895
_cell_angle_alpha 90.00
_cell_angle_beta 90.00
_cell_angle_gamma 90.00
loop_
_space_group_symop_operation_xyz
'x,y,z'
'-x,-y,-z'
'-x+1/2,-y+1/2,z'
'x+1/2,y+1/2,-z'
'x+1/2,-y,-z'
'-x+1/2,y,z'
'-x,y+1/2,-z'
'x,-y+1/2,z'
loop_
_atom_site_label
_atom_site_fract_x
_atom_site_fract_y
_atom_site_fract_z
Cs1 0.250 0.000 0.250
U1 0.250 0.250 0.749
Bi1 0.250 0.750 0.750
Se1 0.010 0.250 0.510
Se2 0.010 0.250 0.989
Se3 0.250 0.010 0.750
```

Properties
**Formation energy from raw total energies**: -848.1 meV per atom

(4)
Compound: HfNb2CrNi
Source: Alexandria via LeMat-Bulk
Functional: PBE
Structure: relaxed

The structure in CIF format:
```
data_HfNb2CrNi
_space_group_name_H-M_alt 'P 4/m m m'
_space_group_IT_number 123
_space_group_name_Hall '-P 4 2'
_cell_length_a 4.556
_cell_length_b 4.556
_cell_length_c 4.420
_cell_angle_alpha 90.00
_cell_angle_beta 90.00
_cell_angle_gamma 90.00
loop_
_atom_site_label
_atom_site_fract_x
_atom_site_fract_y
_atom_site_fract_z
Hf1 0.000 0.000 0.000
Nb1 0.000 0.500 0.500
Cr1 0.500 0.500 0.500
Ni1 0.500 0.500 0.000
```

Properties
**Energy of formation from the pure elements**: 15.73 kcal/mol of atoms

(5)
Compound: InGa2C
Source: Alexandria via LeMat-Bulk
Functional: PBE
Structure: relaxed

The structure in CIF format:
```
data_InGa2C
_space_group_name_H-M_alt 'F m -3 m'
_space_group_IT_number 225
_space_group_name_Hall '-F 4 2 3'
_cell_length_a 6.614
_cell_length_b 6.614
_cell_length_c 6.614
_cell_angle_alpha 90.00
_cell_angle_beta 90.00
_cell_angle_gamma 90.00
loop_
_atom_site_label
_atom_site_fract_x
_atom_site_fract_y
_atom_site_fract_z
In1 0.000 0.000 0.000
Ga1 0.250 0.250 0.250
C1 0.000 0.000 0.500
```

Properties
**Polymorph energy (0 for the lowest one)**: 0.7897 eV per atom
**Energy of formation from the pure elements**: 29.67 kcal/mol of atoms

(6)
Compound: NdTl3Cl6
Source: Alexandria via LeMat-Bulk
Functional: PBE
Structure: relaxed

The structure in CIF format:
```
data_NdTl3Cl6
_space_group_name_H-M_alt 'P 1 21/c 1'
_space_group_IT_number 14
_cell_length_a 7.608
_cell_length_b 8.284
_cell_length_c 13.099
_cell_angle_alpha 90.00
_cell_angle_beta 122.74
_cell_angle_gamma 90.00
loop_
_space_group_symop_operation_xyz
'x,y,z'
'-x,-y,-z'
'-x,y+1/2,-z+1/2'
'x,-y+1/2,z+1/2'
loop_
_atom_site_label
_atom_site_fract_x
_atom_site_fract_y
_atom_site_fract_z
Nd1 0.000 0.000 0.000
Tl1 0.290 0.069 0.765
Tl2 0.500 0.000 0.500
Cl1 0.098 0.064 0.232
Cl2 0.244 0.725 0.080
Cl3 0.347 0.169 0.047
```

Properties
**Formation energy from raw total energies**: -1543.9 meV per atom

(7)
Compound: Li2PaCu2O7
Source: Alexandria via LeMat-Bulk
Functional: PBE
Structure: relaxed

The structure in CIF format:
```
data_Li2PaCu2O7
_space_group_name_H-M_alt 'R 3 2'
_space_group_IT_number 155
_space_group_name_Hall 'R 3 2"'
_cell_length_a 5.3600
_cell_length_b 5.3600
_cell_length_c 24.4194
_cell_angle_alpha 90.00
_cell_angle_beta 90.00
_cell_angle_gamma 120.00
loop_
_atom_site_label
_atom_site_fract_x
_atom_site_fract_y
_atom_site_fract_z
Li1 0.0000 0.0000 0.0787
Pa1 0.0000 0.0000 0.5000
Cu1 0.0000 0.0000 0.2300
O1 0.0000 0.0000 0.0000
O2 0.0059 0.3190 0.4428
```

Properties
**Formation energy from raw total energies**: -1345.2 meV per atom

(8)
Compound: MgInI3
Source: Alexandria via LeMat-Bulk
Functional: PBE
Structure: relaxed

The structure in CIF format:
```
data_MgInI3
_space_group_name_H-M_alt 'P 1 21/m 1'
_space_group_IT_number 11
_cell_length_a 8.450
_cell_length_b 6.126
_cell_length_c 9.187
_cell_angle_alpha 90.00
_cell_angle_beta 107.36
_cell_angle_gamma 90.00
loop_
_space_group_symop_operation_xyz
'x,y,z'
'-x,-y,-z'
'-x,y+1/2,-z'
'x,-y+1/2,z'
loop_
_atom_site_label
_atom_site_fract_x
_atom_site_fract_y
_atom_site_fract_z
Mg1 0.007 0.250 0.337
In1 0.461 0.250 0.737
I1 0.000 0.250 0.641
I2 0.297 0.750 0.877
I3 0.326 0.250 0.325
```

Properties
**Polymorph energy (0 for the lowest one)**: 0.0207 eV per atom
**Formation energy from raw total energies**: -751.8 meV per atom

(9)
Compound: CeHo7Th3
Source: Alexandria via LeMat-Bulk
Functional: PBE
Structure: relaxed

The structure in CIF format:
```
data_CeHo7Th3
_space_group_name_H-M_alt 'P 3 m 1'
_space_group_IT_number 156
_cell_length_a 7.0177
_cell_length_b 7.0177
_cell_length_c 8.5109
_cell_angle_alpha 90.00
_cell_angle_beta 90.00
_cell_angle_gamma 120.00
loop_
_space_group_symop_operation_xyz
'x,y,z'
'-y,x-y,z'
'-x+y,-x,z'
'-y,-x,z'
'-x+y,y,z'
'x,x-y,z'
loop_
_atom_site_label
_atom_site_fract_x
_atom_site_fract_y
_atom_site_fract_z
Ce1 0.0000 0.0000 0.0000
Ho1 0.0016 0.5008 0.9952
Ho2 0.3296 0.1648 0.6582
Ho3 0.3333 0.6667 0.6560
Th1 0.1661 0.3322 0.3227
```

Properties
**Energy of formation from the pure elements**: 5.07 kcal/mol of atoms

(10)
Compound: RbIrPdSe3
Source: Alexandria via LeMat-Bulk
Functional: PBE
Structure: relaxed

The structure in CIF format:
```
data_RbIrPdSe3
_space_group_name_H-M_alt 'C m c m'
_space_group_IT_number 63
_space_group_name_Hall '-C 2c 2'
_cell_length_a 6.846
_cell_length_b 13.171
_cell_length_c 6.851
_cell_angle_alpha 90.00
_cell_angle_beta 90.00
_cell_angle_gamma 90.00
loop_
_atom_site_label
_atom_site_fract_x
_atom_site_fract_y
_atom_site_fract_z
Rb1 0.000 0.248 0.250
Ir1 0.000 0.446 0.750
Pd1 0.000 0.075 0.750
Se1 0.000 0.263 0.750
Se2 0.242 0.500 0.000
```

Properties
**Formation energy from raw total energies**: -388.6 meV per atom

(11)
Compound: Li3TmSn3
Source: Alexandria via LeMat-Bulk
Functional: PBE
Structure: relaxed

The structure in CIF format:
```
data_Li3TmSn3
_space_group_name_H-M_alt 'R -3'
_space_group_IT_number 148
_space_group_name_Hall '-R 3'
_cell_length_a 8.2596
_cell_length_b 8.2596
_cell_length_c 17.5219
_cell_angle_alpha 90.00
_cell_angle_beta 90.00
_cell_angle_gamma 120.00
loop_
_atom_site_label
_atom_site_fract_x
_atom_site_fract_y
_atom_site_fract_z
Li1 0.0013 0.3481 0.3835
Tm1 0.0000 0.0000 0.1652
Sn1 0.0009 0.7035 0.4430
```

Properties
**Polymorph energy (0 for the lowest one)**: 0.0000 eV per atom
**Energy of formation from the pure elements**: -5.25 kcal/mol of atoms

Here are the calculated total DFT energy (no corrections) numbers, same order: -5.815, -5.564, -4.626, -8.418, -3.217, -3.838, -6.031, -2.548, -5.256, -4.634, -3.402 (eV per atom).
Here are the calculated calculated volume numbers, same order: 198.60, 203.78, 695.73, 91.77, 289.39, 694.39, 607.58, 453.92, 362.99, 617.74, 1035.21 (Å³/cell).